1.
# LaPr9Sn2 (PBE, relaxed)
# Calculated total energy = -4.94 eV per atom
# Calculated formation energy = -0.28 eV/atom
# Total moment = 0.00 μB/cell
data_LaPr9Sn2
_cell_length_a 5.0261
_cell_length_b 5.0261
_cell_length_c 15.6164
_cell_angle_alpha 90.00
_cell_angle_beta 90.00
_cell_angle_gamma 90.00
_space_group_name_H-M_alt 'P 4/m m m'
_space_group_IT_number 123
_space_group_name_Hall '-P 4 2'
loop_
_atom_site_label
_atom_site_fract_x
_atom_site_fract_y
_atom_site_fract_z
La1 0.0000 0.0000 0.0000
Pr1 0.0000 0.5000 0.1792
Pr2 0.0000 0.5000 0.5000
Pr3 0.5000 0.5000 0.0000
Pr4 0.5000 0.5000 0.3417
Sn1 0.0000 0.0000 0.3386

***

2.
# La5PrSn3 (PBE, relaxed)
# Calculated total energy = -5.20 eV per atom
# Calculated formation energy = -0.60 eV/atom
# Total moment = 6.64 μB/cell
# Relative energy among the computed polymorphs = 0.000 eV per formula unit
data_La5PrSn3
_cell_length_a 9.8242
_cell_length_b 9.8242
_cell_length_c 6.9124
_cell_angle_alpha 90.00
_cell_angle_beta 90.00
_cell_angle_gamma 120.00
_space_group_name_H-M_alt 'P 63/m c m'
_space_group_IT_number 193
_space_group_name_Hall '-P 6c 2'
loop_
_atom_site_label
_atom_site_fract_x
_atom_site_fract_y
_atom_site_fract_z
La1 0.0000 0.3337 0.2500
La2 0.3333 0.6667 0.0000
Pr1 0.0000 0.0000 0.0000
Sn1 0.0000 0.3325 0.7500

***

3.
# LaPrSn (PBE, relaxed)
# Calculated total energy = -5.11 eV per atom
# Calculated formation energy = -0.54 eV/atom
# Total moment = 0.00 μB/cell
# Relative energy among the computed polymorphs = 0.211 eV per formula unit
data_LaPrSn
_cell_length_a 4.2747
_cell_length_b 4.2747
_cell_length_c 10.1133
_cell_angle_alpha 90.00
_cell_angle_beta 90.00
_cell_angle_gamma 90.00
_space_group_name_H-M_alt 'I 4 m m'
_space_group_IT_number 107
_space_group_name_Hall 'I 4 -2'
loop_
_atom_site_label
_atom_site_fract_x
_atom_site_fract_y
_atom_site_fract_z
La1 0.0000 0.0000 0.0000
Pr1 0.0000 0.0000 0.6941
Sn1 0.0000 0.0000 0.3452

***

4.
# LaPrSn (PBE, relaxed)
# Calculated total energy = -4.80 eV per atom
# Calculated formation energy = -0.23 eV/atom
# Total moment = 0.00 μB/cell
# Relative energy among the computed polymorphs = 1.148 eV per formula unit
data_LaPrSn
_cell_length_a 3.6542
_cell_length_b 16.7228
_cell_length_c 6.7525
_cell_angle_alpha 90.00
_cell_angle_beta 90.00
_cell_angle_gamma 90.00
_space_group_name_H-M_alt 'C m c m'
_space_group_IT_number 63
_space_group_name_Hall '-C 2c 2'
loop_
_atom_site_label
_atom_site_fract_x
_atom_site_fract_y
_atom_site_fract_z
La1 0.0000 0.1292 0.2500
Pr1 0.0000 0.3326 0.2500
Sn1 0.0000 0.5000 0.0000

***

5.
# La7Pr12Sn (PBE, relaxed)
# Calculated total energy = -4.70 eV per atom
# Calculated formation energy = 0.10 eV/atom
# Total moment = 0.00 μB/cell
data_La7Pr12Sn
_cell_length_a 12.6620
_cell_length_b 12.6620
_cell_length_c 15.8632
_cell_angle_alpha 90.00
_cell_angle_beta 90.00
_cell_angle_gamma 120.00
_space_group_name_H-M_alt 'R -3'
_space_group_IT_number 148
_space_group_name_Hall '-R 3'
loop_
_atom_site_label
_atom_site_fract_x
_atom_site_fract_y
_atom_site_fract_z
La1 0.0000 0.0000 0.0000
La2 0.0140 0.4284 0.6982
Pr1 0.0371 0.1862 0.8082
Pr2 0.0679 0.8113 0.4236
Sn1 0.0000 0.0000 0.5000

***

6.
# La3Pr2Sn3 (PBE, relaxed)
# Calculated total energy = -5.24 eV per atom
# Calculated formation energy = -0.69 eV/atom
# Total moment = 2.14 μB/cell
data_La3Pr2Sn3
_cell_length_a 9.5230
_cell_length_b 9.5230
_cell_length_c 6.8747
_cell_angle_alpha 90.00
_cell_angle_beta 90.00
_cell_angle_gamma 120.00
_space_group_name_H-M_alt 'P 63/m c m'
_space_group_IT_number 193
_space_group_name_Hall '-P 6c 2'
loop_
_atom_site_label
_atom_site_fract_x
_atom_site_fract_y
_atom_site_fract_z
La1 0.0000 0.2513 0.2500
Pr1 0.3333 0.6667 0.0000
Sn1 0.0000 0.3902 0.7500

***

| no. | D(E_F) (states/eV/f.u.) |
| --- | --- |
| 1 | 13.11 |
| 2 | 11.34 |
| 3 | 3.19 |
| 4 | 3.53 |
| 5 | 35.94 |
| 6 | 8.12 |